Entry 1:
Rb2Zn2Au: optimized geometry, PBE.

Cell and atoms, written as POSCAR:
```
Rb2Zn2Au
1.0
7.1886 0.0000 0.0000
0.0000 7.1886 0.0000
0.0000 0.0000 5.8548
Rb Zn Au
4 4 2
Direct
0.1855 0.3145 0.0000 Rb
0.3145 0.8145 0.0000 Rb
0.6855 0.1855 0.0000 Rb
0.8145 0.6855 0.0000 Rb
0.1348 0.6348 0.5000 Zn
0.3651 0.1348 0.5000 Zn
0.6348 0.8652 0.5000 Zn
0.8652 0.3651 0.5000 Zn
0.0000 0.0000 0.5000 Au
0.5000 0.5000 0.5000 Au
```

Calculated values
Final energy ... -1.53 eV per atom
Energy relative to the elements ... 0.023 eV per atom

=====

Entry 2:
Rb3ZnAu2: optimized geometry, PBE.

Cell and atoms, written as POSCAR:
```
Rb3ZnAu2
1.0
13.5450 0.0000 0.0000
0.0000 4.7687 0.0000
0.0000 0.0000 14.5241
Rb Zn Au
12 4 8
Direct
0.0665 0.2500 0.1168 Rb
0.1204 0.7500 0.5531 Rb
0.1859 0.2500 0.7935 Rb
0.3141 0.7500 0.2935 Rb
0.3796 0.2500 0.0531 Rb
0.4335 0.7500 0.6168 Rb
0.5665 0.2500 0.3832 Rb
0.6204 0.7500 0.9469 Rb
0.6859 0.2500 0.7065 Rb
0.8141 0.7500 0.2065 Rb
0.8796 0.2500 0.4469 Rb
0.9335 0.7500 0.8832 Rb
0.1289 0.2500 0.3615 Zn
0.3711 0.7500 0.8615 Zn
0.6289 0.2500 0.1385 Zn
0.8711 0.7500 0.6385 Zn
0.0561 0.7500 0.3202 Au
0.2052 0.7500 0.9662 Au
0.2948 0.2500 0.4662 Au
0.4439 0.2500 0.8202 Au
0.5561 0.7500 0.1798 Au
0.7052 0.7500 0.5338 Au
0.7948 0.2500 0.0338 Au
0.9439 0.2500 0.6798 Au
```

Calculated values
Final energy ... -2.00 eV per atom
Energy relative to the elements ... -0.213 eV per atom

=====

Entry 3:
Rb5Zn2Au5: optimized geometry, PBE.

Cell and atoms, written as POSCAR:
```
Rb5Zn2Au5
1.0
8.5127 -2.2741 0.0000
8.5127 2.2741 0.0000
-7.0095 0.0000 10.6555
Rb Zn Au
5 2 5
Direct
0.0000 0.0000 0.0000 Rb
0.3092 0.3092 0.4086 Rb
0.3676 0.3676 0.1743 Rb
0.6324 0.6324 0.8257 Rb
0.6908 0.6908 0.5914 Rb
0.3965 0.3965 0.7283 Zn
0.6035 0.6035 0.2717 Zn
0.0000 0.0000 0.5000 Au
0.0631 0.0631 0.3360 Au
0.3116 0.3116 0.8522 Au
0.6884 0.6884 0.1478 Au
0.9369 0.9369 0.6640 Au
```

Calculated values
Final energy ... -2.21 eV per atom
Energy relative to the elements ... -0.232 eV per atom

=====

Entry 4:
Rb2Zn2Au: optimized geometry, PBE.

Cell and atoms, written as POSCAR:
```
Rb2Zn2Au
1.0
-1.9380 1.9380 10.8737
1.9380 -1.9380 10.8737
1.9380 1.9380 -10.8737
Rb Zn Au
2 2 1
Direct
0.1006 0.1006 0.0000 Rb
0.8994 0.8994 0.0000 Rb
0.2500 0.7500 0.5000 Zn
0.7500 0.2500 0.5000 Zn
0.5000 0.5000 0.0000 Au
```

Calculated values
Final energy ... -1.55 eV per atom
Energy relative to the elements ... 0.000 eV per atom

=====

Entry 5:
Rb12Zn3Au5: optimized geometry, PBE.

Cell and atoms, written as POSCAR:
```
Rb12Zn3Au5
1.0
-10.5615 10.5615 10.5615
10.5615 -10.5615 10.5615
10.5615 10.5615 -10.5615
Rb Zn Au
48 12 20
Direct
0.0425 0.2159 0.1258 Rb
0.0425 0.3266 0.9166 Rb
0.0834 0.6258 0.4099 Rb
0.0834 0.9575 0.6734 Rb
0.0901 0.7159 0.6734 Rb
0.0901 0.8742 0.4166 Rb
0.1258 0.0425 0.2159 Rb
0.1258 0.5834 0.9099 Rb
0.1734 0.2159 0.5901 Rb
0.1734 0.4575 0.5834 Rb
0.2159 0.1258 0.0425 Rb
0.2159 0.5901 0.1734 Rb
0.2841 0.3266 0.9099 Rb
0.2841 0.4575 0.3742 Rb
0.3266 0.9099 0.2841 Rb
0.3266 0.9166 0.0425 Rb
0.3742 0.2841 0.4575 Rb
0.3742 0.5901 0.9166 Rb
0.4099 0.0834 0.6258 Rb
0.4099 0.8266 0.7841 Rb
0.4166 0.0901 0.8742 Rb
0.4166 0.8266 0.5425 Rb
0.4575 0.3742 0.2841 Rb
0.4575 0.5834 0.1734 Rb
0.5425 0.4166 0.8266 Rb
0.5425 0.6258 0.7159 Rb
0.5834 0.1734 0.4575 Rb
0.5834 0.9099 0.1258 Rb
0.5901 0.1734 0.2159 Rb
0.5901 0.9166 0.3742 Rb
0.6258 0.4099 0.0834 Rb
0.6258 0.7159 0.5425 Rb
0.6734 0.0834 0.9575 Rb
0.6734 0.0901 0.7159 Rb
0.7159 0.5425 0.6258 Rb
0.7159 0.6734 0.0901 Rb
0.7841 0.4099 0.8266 Rb
0.7841 0.8742 0.9575 Rb
0.8266 0.5425 0.4166 Rb
0.8266 0.7841 0.4099 Rb
0.8742 0.4166 0.0901 Rb
0.8742 0.9575 0.7841 Rb
0.9099 0.1258 0.5834 Rb
0.9099 0.2841 0.3266 Rb
0.9166 0.0425 0.3266 Rb
0.9166 0.3742 0.5901 Rb
0.9575 0.6734 0.0834 Rb
0.9575 0.7841 0.8742 Rb
0.1250 0.2500 0.3750 Zn
0.1250 0.3750 0.7500 Zn
0.2500 0.3750 0.1250 Zn
0.2500 0.8750 0.6250 Zn
0.3750 0.1250 0.2500 Zn
0.3750 0.7500 0.1250 Zn
0.6250 0.2500 0.8750 Zn
0.6250 0.8750 0.7500 Zn
0.7500 0.1250 0.3750 Zn
0.7500 0.6250 0.8750 Zn
0.8750 0.6250 0.2500 Zn
0.8750 0.7500 0.6250 Zn
0.0000 0.0000 0.0000 Au
0.0000 0.0000 0.5000 Au
0.0000 0.5000 0.0000 Au
0.0000 0.5000 0.5000 Au
0.1250 0.7500 0.8750 Au
0.1250 0.8750 0.2500 Au
0.2500 0.1250 0.8750 Au
0.2500 0.6250 0.3750 Au
0.3750 0.2500 0.6250 Au
0.3750 0.6250 0.7500 Au
0.5000 0.0000 0.0000 Au
0.5000 0.0000 0.5000 Au
0.5000 0.5000 0.0000 Au
0.5000 0.5000 0.5000 Au
0.6250 0.3750 0.2500 Au
0.6250 0.7500 0.3750 Au
0.7500 0.3750 0.6250 Au
0.7500 0.8750 0.1250 Au
0.8750 0.1250 0.7500 Au
0.8750 0.2500 0.1250 Au
```

Calculated values
Final energy ... -1.57 eV per atom
Energy relative to the elements ... 0.024 eV per atom

=====

Entry 6:
Rb3Zn4Au4: optimized geometry, PBE.

Cell and atoms, written as POSCAR:
```
Rb3Zn4Au4
1.0
-4.1555 4.1555 4.1555
4.1555 -4.1555 4.1555
4.1555 4.1555 -4.1555
Rb Zn Au
3 4 4
Direct
0.0000 0.5000 0.5000 Rb
0.5000 0.0000 0.5000 Rb
0.5000 0.5000 0.0000 Rb
0.0000 0.0000 0.7594 Zn
0.0000 0.7594 0.0000 Zn
0.2406 0.2406 0.2406 Zn
0.7594 0.0000 0.0000 Zn
0.0000 0.0000 0.3929 Au
0.0000 0.3929 0.0000 Au
0.3929 0.0000 0.0000 Au
0.6071 0.6071 0.6071 Au
```

Calculated values
Final energy ... -2.16 eV per atom
Energy relative to the elements ... -0.241 eV per atom

=====

Entry 7:
Rb2Zn5Au4: optimized geometry, PBE.

Cell and atoms, written as POSCAR:
```
Rb2Zn5Au4
1.0
0.0000 5.7893 7.2853
3.2231 0.0000 7.2853
3.2231 5.7893 0.0000
Rb Zn Au
2 5 4
Direct
0.1489 0.1489 0.8511 Rb
0.8511 0.8511 0.1489 Rb
0.0000 0.0000 0.5000 Zn
0.2500 0.2500 0.2500 Zn
0.5000 0.5000 0.0000 Zn
0.5000 0.5000 0.5000 Zn
0.7500 0.7500 0.7500 Zn
0.2120 0.5357 0.4643 Au
0.4643 0.7880 0.2120 Au
0.5357 0.2120 0.7880 Au
0.7880 0.4643 0.5357 Au
```

Calculated values
Final energy ... -2.14 eV per atom
Energy relative to the elements ... -0.195 eV per atom

=====

Entry 8:
Rb2ZnAu5: optimized geometry, PBE.

Cell and atoms, written as POSCAR:
```
Rb2ZnAu5
1.0
5.1334 -3.6169 0.0000
5.1334 3.6169 0.0000
-3.6606 0.0000 5.5429
Rb Zn Au
2 1 5
Direct
0.0000 0.0000 0.0000 Rb
0.5627 0.5627 0.8130 Rb
0.6481 0.6481 0.3764 Zn
0.0050 0.3843 0.5925 Au
0.0585 0.6525 0.3491 Au
0.3422 0.3422 0.0496 Au
0.3843 0.0050 0.5925 Au
0.6525 0.0585 0.3491 Au
```

Calculated values
Final energy ... -2.62 eV per atom
Energy relative to the elements ... -0.169 eV per atom

=====

Entry 9:
Rb2Zn2Au: optimized geometry, PBE.

Cell and atoms, written as POSCAR:
```
Rb2Zn2Au
1.0
-3.4556 3.4556 3.7951
3.4556 -3.4556 3.7951
3.4556 3.4556 -3.7951
Rb Zn Au
2 2 1
Direct
0.2500 0.7500 0.5000 Rb
0.7500 0.2500 0.5000 Rb
0.1648 0.1648 0.0000 Zn
0.8352 0.8352 0.0000 Zn
0.5000 0.5000 0.0000 Au
```

Calculated values
Final energy ... -1.53 eV per atom
Energy relative to the elements ... 0.022 eV per atom

=====

Entry 10:
RbZr2Au2: optimized geometry, PBE.

Cell and atoms, written as POSCAR:
```
RbZr2Au2
1.0
8.9180 0.0000 0.0000
0.0000 8.9180 0.0000
0.0000 0.0000 2.9929
Rb Zr Au
2 4 4
Direct
0.0000 0.0000 0.0000 Rb
0.5000 0.5000 0.0000 Rb
0.1221 0.3779 0.0000 Zr
0.3779 0.8779 0.0000 Zr
0.6221 0.1221 0.0000 Zr
0.8779 0.6221 0.0000 Zr
0.1693 0.6693 0.5000 Au
0.3307 0.1693 0.5000 Au
0.6693 0.8307 0.5000 Au
0.8307 0.3307 0.5000 Au
```

Calculated values
Final energy ... -4.98 eV per atom
Energy relative to the elements ... -0.053 eV per atom

=====

Entry 11:
RbZr3Au: optimized geometry, PBE.

Cell and atoms, written as POSCAR:
```
RbZr3Au
1.0
5.3728 0.0000 0.0000
0.0000 5.3728 0.0000
0.0000 0.0000 5.3728
Rb Zr Au
1 3 1
Direct
0.0000 0.0000 0.0000 Rb
0.0000 0.5000 0.5000 Zr
0.5000 0.0000 0.5000 Zr
0.5000 0.5000 0.0000 Zr
0.5000 0.5000 0.5000 Au
```

Calculated values
Final energy ... -5.15 eV per atom
Energy relative to the elements ... 0.824 eV per atom

=====

Entry 12:
ReAu7: optimized geometry, PBE.

Cell and atoms, written as POSCAR:
```
ReAu7
1.0
0.0000 4.1465 4.1465
4.1465 0.0000 4.1465
4.1465 4.1465 0.0000
Re Au
1 7
Direct
0.0000 0.0000 0.0000 Re
0.0000 0.0000 0.5000 Au
0.0000 0.5000 0.0000 Au
0.0000 0.5000 0.5000 Au
0.5000 0.0000 0.0000 Au
0.5000 0.0000 0.5000 Au
0.5000 0.5000 0.0000 Au
0.5000 0.5000 0.5000 Au
```

Calculated values
Final energy ... -4.04 eV per atom
Energy relative to the elements ... 0.380 eV per atom

=====

Question: Which value of energy relative to the elements does entry 4 give?
Answer: 0.000 eV per atom

=====

Question: Number 6 is which compound?
Answer: Rb3Zn4Au4